# LuUHg, relaxed, DFT PBE
# Magnetization: 15.15 μB/cell
# E above lowest polymorph: 0.0000 eV per atom
# Energy relative to the elements: 0.61 eV per atom
# ρ: 11.3 g/cm3
data_LuUHg
_chemical_formula_sum 'Lu4 U4 Hg4'
_symmetry_space_group_name_H-M 'F -4 3 m'
_symmetry_Int_Tables_number 216
_symmetry_space_group_name_Hall 'F -4 2 3'
_cell_length_a 7.120
_cell_length_b 7.120
_cell_length_c 7.120
_cell_angle_alpha 90.00
_cell_angle_beta 90.00
_cell_angle_gamma 90.00
loop_
_atom_site_label
_atom_site_type_symbol
_atom_site_fract_x
_atom_site_fract_y
_atom_site_fract_z
Lu1 Lu 0.000 0.000 0.000
U1 U 0.000 0.000 0.500
Hg1 Hg 0.250 0.250 0.250


# Lu2HgW, relaxed, DFT PBE
# Magnetization: 0.35 μB/cell
# Energy relative to the elements: 0.46 eV per atom
# ρ: 14.3 g/cm3
data_Lu2HgW
_chemical_formula_sum 'Lu8 Hg4 W4'
_symmetry_space_group_name_H-M 'F -4 3 m'
_symmetry_Int_Tables_number 216
_symmetry_space_group_name_Hall 'F -4 2 3'
_cell_length_a 6.980
_cell_length_b 6.980
_cell_length_c 6.980
_cell_angle_alpha 90.00
_cell_angle_beta 90.00
_cell_angle_gamma 90.00
loop_
_atom_site_label
_atom_site_type_symbol
_atom_site_fract_x
_atom_site_fract_y
_atom_site_fract_z
Lu1 Lu 0.000 0.000 0.000
Lu2 Lu 0.250 0.250 0.250
Hg1 Hg 0.250 0.250 0.750
W1 W 0.000 0.000 0.500


# LuHgW, relaxed, DFT PBE
# Magnetization: 8.01 μB/cell
# Energy relative to the elements: 1.02 eV per atom
# ρ: 13.0 g/cm3
data_LuHgW
_chemical_formula_sum 'Lu4 Hg4 W4'
_symmetry_space_group_name_H-M 'F -4 3 m'
_symmetry_Int_Tables_number 216
_symmetry_space_group_name_Hall 'F -4 2 3'
_cell_length_a 6.587
_cell_length_b 6.587
_cell_length_c 6.587
_cell_angle_alpha 90.00
_cell_angle_beta 90.00
_cell_angle_gamma 90.00
loop_
_atom_site_label
_atom_site_type_symbol
_atom_site_fract_x
_atom_site_fract_y
_atom_site_fract_z
Lu1 Lu 0.000 0.000 0.000
Hg1 Hg 0.250 0.250 0.250
W1 W 0.000 0.000 0.500


# YLu6Hg, relaxed, DFT PBE
# Magnetization: 0.70 μB/cell
# Energy relative to the elements: -0.02 eV per atom
# ρ: 9.8 g/cm3
data_YLu6Hg
_chemical_formula_sum 'Y1 Lu6 Hg1'
_symmetry_space_group_name_H-M 'P -6 m 2'
_symmetry_Int_Tables_number 187
_symmetry_space_group_name_Hall 'P -6 2'
_cell_length_a 6.9238
_cell_length_b 6.9238
_cell_length_c 5.4784
_cell_angle_alpha 90.00
_cell_angle_beta 90.00
_cell_angle_gamma 120.00
loop_
_atom_site_label
_atom_site_type_symbol
_atom_site_fract_x
_atom_site_fract_y
_atom_site_fract_z
Y1 Y 0.0000 0.0000 0.0000
Lu1 Lu 0.0010 0.5005 0.0000
Lu2 Lu 0.3277 0.1638 0.5000
Hg1 Hg 0.3333 0.6667 0.5000


# YLuHg, relaxed, DFT PBE
# Magnetization: 0.24 μB/cell
# Energy relative to the elements: 0.45 eV per atom
# ρ: 8.8 g/cm3
data_YLuHg
_chemical_formula_sum 'Y4 Lu4 Hg4'
_symmetry_space_group_name_H-M 'F -4 3 m'
_symmetry_Int_Tables_number 216
_symmetry_space_group_name_Hall 'F -4 2 3'
_cell_length_a 7.065
_cell_length_b 7.065
_cell_length_c 7.065
_cell_angle_alpha 90.00
_cell_angle_beta 90.00
_cell_angle_gamma 90.00
loop_
_atom_site_label
_atom_site_type_symbol
_atom_site_fract_x
_atom_site_fract_y
_atom_site_fract_z
Y1 Y 0.000 0.000 0.000
Lu1 Lu 0.250 0.250 0.750
Hg1 Hg 0.000 0.000 0.500


# LuZnHg2, relaxed, DFT PBE
# Magnetization: 0.01 μB/cell
# Energy relative to the elements: -0.20 eV per atom
# ρ: 12.5 g/cm3
data_LuZnHg2
_chemical_formula_sum 'Lu4 Zn4 Hg8'
_symmetry_space_group_name_H-M 'F -4 3 m'
_symmetry_Int_Tables_number 216
_symmetry_space_group_name_Hall 'F -4 2 3'
_cell_length_a 6.990
_cell_length_b 6.990
_cell_length_c 6.990
_cell_angle_alpha 90.00
_cell_angle_beta 90.00
_cell_angle_gamma 90.00
loop_
_atom_site_label
_atom_site_type_symbol
_atom_site_fract_x
_atom_site_fract_y
_atom_site_fract_z
Lu1 Lu 0.000 0.000 0.000
Zn1 Zn 0.250 0.250 0.750
Hg1 Hg 0.000 0.000 0.500
Hg2 Hg 0.250 0.250 0.250